# Sc2HgW

Crystalline Sc2HgW at its relaxed geometry (PBE, the Alexandria database).

Results
Size of the total moment: 0.00 Bohr magnetons per cell
Space group: P4/mmm (123)

a b c (Å): 5.0645 3.1047 5.0644
angles (deg): 90.00 90.00 90.00
Sites, in units of the cell vectors:
Hg 0.5000 0.6249 0.8751
Sc 0.0000 0.1249 0.8749
Sc 0.5000 0.1251 0.3751
W 0.0000 0.6250 0.3750

---

# ScZn2HgW

Crystalline ScZn2HgW at its relaxed geometry (PBE, the Alexandria database).

Results
Size of the total moment: 0.00 Bohr magnetons per cell
Space group: P4/mmm (123)

a b c (Å): 5.0762 4.7895 5.0762
angles (deg): 90.00 90.00 90.00
Sites, in units of the cell vectors:
Sc 0.0000 0.0000 0.0000
Zn 0.0000 0.0000 0.5000
Zn 0.5000 0.0000 0.0000
Hg 0.5000 0.5000 0.5000
W 0.0000 0.5000 0.0000

---

# YScHg

Crystalline YScHg at its relaxed geometry (PBE, the Alexandria database).

Results
Offset from the most stable computed form: 76 meV/atom
Size of the total moment: 0.00 Bohr magnetons per cell
Space group: C2/m (12)

a b c (Å): 6.6457 4.8623 6.1149
angles (deg): 66.54 118.70 90.02
Sites, in units of the cell vectors:
Sc 0.4797 0.5558 0.3427
Sc 0.6954 0.1993 0.0563
Y 0.2933 0.9210 0.6125
Y 0.8818 0.8341 0.7865
Hg 0.2377 0.2180 0.0185
Hg 0.9374 0.5372 0.3805

---

# YSc2Hg8

Crystalline YSc2Hg8 at its relaxed geometry (PBE, the Alexandria database).

Results
Size of the total moment: 0.00 Bohr magnetons per cell
Space group: Immm (71)

a b c (Å): 4.8533 7.4959 8.3864
angles (deg): 116.55 106.82 90.00
Sites, in units of the cell vectors:
Y 0.5000 0.0000 0.0000
Sc 0.1903 0.6903 0.3807
Sc 0.8097 0.3097 0.6193
Hg 0.6525 0.8671 0.3050
Hg 0.3475 0.5621 0.6950
Hg 0.1582 0.1582 0.3165
Hg 0.0000 0.2998 0.0000
Hg 0.8418 0.8418 0.6835
Hg 0.6525 0.4379 0.3050
Hg 0.3475 0.1329 0.6950
Hg 0.0000 0.7002 0.0000

---

# Y3ScHg6

Crystalline Y3ScHg6 at its relaxed geometry (PBE, the Alexandria database).

Results
Size of the total moment: 0.00 Bohr magnetons per cell
Space group: P2_1/m (11)

a b c (Å): 5.1222 9.0133 11.0839
angles (deg): 107.66 90.00 90.00
Sites, in units of the cell vectors:
Y 0.2500 0.5213 0.3873
Y 0.7500 0.4787 0.6127
Y 0.2500 0.3508 0.7873
Y 0.7500 0.6492 0.2127
Y 0.2500 0.7739 0.9925
Y 0.7500 0.2261 0.0075
Sc 0.2500 0.9425 0.5955
Sc 0.7500 0.0575 0.4045
Hg 0.2500 0.4702 0.0867
Hg 0.7500 0.5298 0.9133
Hg 0.2500 0.1505 0.1774
Hg 0.7500 0.8495 0.8226
Hg 0.2500 0.6657 0.6940
Hg 0.7500 0.3343 0.3060
Hg 0.2500 0.2326 0.4946
Hg 0.7500 0.7674 0.5054
Hg 0.2500 0.8573 0.3126
Hg 0.7500 0.1427 0.6874
Hg 0.2500 0.0570 0.8745
Hg 0.7500 0.9430 0.1255

---

# YScHg

Crystalline YScHg at its relaxed geometry (PBE, the Alexandria database).

Results
Offset from the most stable computed form: 14 meV/atom
Size of the total moment: 0.00 Bohr magnetons per cell
Space group: P4/nmm (129)

a b c (Å): 4.6106 4.6106 7.3758
angles (deg): 90.00 90.00 90.00
Sites, in units of the cell vectors:
Y 0.0000 0.5000 0.6430
Y 0.5000 0.0000 0.3570
Sc 0.0000 0.0000 0.0000
Sc 0.5000 0.5000 0.0000
Hg 0.0000 0.5000 0.2431
Hg 0.5000 0.0000 0.7569

---

# YScHg

Crystalline YScHg at its relaxed geometry (PBE, the Alexandria database).

Results
Offset from the most stable computed form: 140 meV/atom
Size of the total moment: 0.54 Bohr magnetons per cell
Space group: P3m1 (156)

a b c (Å): 4.9489 4.9489 3.7051
angles (deg): 90.00 90.00 120.00
Site moments in Bohr magnetons follow the coordinates.
Sites, in units of the cell vectors:
Hg 0.0000 0.0000 0.1499  0.02
Sc 0.3333 0.6667 0.1780  0.17
Y 0.6667 0.3333 0.6721  0.10

---

# YSc2Hg5

Crystalline YSc2Hg5 at its relaxed geometry (PBE, the Alexandria database).

Results
Size of the total moment: 0.00 Bohr magnetons per cell
Space group: I4/mmm (139)

a b c (Å): 5.0121 5.0121 8.0772
angles (deg): 108.07 108.07 90.00
Sites, in units of the cell vectors:
Y 0.0000 0.0000 0.0000
Sc 0.7382 0.7382 0.4763
Sc 0.2618 0.2618 0.5237
Hg 0.5000 0.5000 0.0000
Hg 0.8672 0.3671 0.7343
Hg 0.3672 0.8672 0.7343
Hg 0.1328 0.6328 0.2657
Hg 0.6328 0.1328 0.2657

---

# YSc2Hg2

Crystalline YSc2Hg2 at its relaxed geometry (PBE, the Alexandria database).

Results
Offset from the most stable computed form: 9 meV/atom
Size of the total moment: 0.00 Bohr magnetons per cell
Space group: P4/mbm (127)

a b c (Å): 8.2050 8.2050 3.6020
angles (deg): 90.00 90.00 90.00
Sites, in units of the cell vectors:
Y 0.0000 0.0000 0.0000
Y 0.5000 0.5000 0.0000
Sc 0.1670 0.6670 0.5000
Sc 0.6670 0.8330 0.5000
Sc 0.8330 0.3330 0.5000
Sc 0.3330 0.1670 0.5000
Hg 0.3679 0.8679 0.0000
Hg 0.8679 0.6321 0.0000
Hg 0.6321 0.1321 0.0000
Hg 0.1321 0.3679 0.0000

---

# YScHg

Crystalline YScHg at its relaxed geometry (PBE, the Alexandria database).

Results
Offset from the most stable computed form: 87 meV/atom
Size of the total moment: 2.31 Bohr magnetons per cell
Space group: C2/m (12)

a b c (Å): 6.6791 3.5184 8.3532
angles (deg): 77.81 54.55 74.75
Site moments in Bohr magnetons follow the coordinates.
Sites, in units of the cell vectors:
Sc 0.1610 0.6582 0.0192  0.38
Sc 0.1151 0.3492 0.6826  0.38
Y 0.6282 0.3471 0.1742  0.26
Y 0.6479 0.6603 0.5281  0.26
Hg 0.6380 0.0037 0.8512  0.01
Hg 0.1380 0.0039 0.3508  0.01

---

# Y5Sc4Hg4

Crystalline Y5Sc4Hg4 at its relaxed geometry (PBE, the Alexandria database).

Results
Size of the total moment: 0.00 Bohr magnetons per cell
Space group: I4/m (87)

a b c (Å): 4.9049 8.6819 8.6819
angles (deg): 85.42 73.59 73.59
Sites, in units of the cell vectors:
Y 0.6898 0.9307 0.6898
Y 0.3102 0.0693 0.3102
Y 0.0000 0.0000 0.0000
Y 0.6205 0.6898 0.0693
Y 0.3795 0.3102 0.9307
Sc 0.9027 0.5047 0.6899
Sc 0.5926 0.3101 0.5047
Sc 0.0973 0.4953 0.3101
Sc 0.4074 0.6899 0.4953
Hg 0.7523 0.3312 0.1641
Hg 0.2477 0.6688 0.8359
Hg 0.9165 0.8359 0.3312
Hg 0.0835 0.1641 0.6688

---

# YSc3Hg2

Crystalline YSc3Hg2 at its relaxed geometry (PBE, the Alexandria database).

Results
Size of the total moment: 0.00 Bohr magnetons per cell
Space group: Pmc2_1 (26)

a b c (Å): 4.8766 6.7898 8.7086
angles (deg): 90.00 90.00 90.00
Sites, in units of the cell vectors:
Y 0.5000 0.5138 0.5504
Y 0.5000 0.0138 0.4496
Sc 0.0000 0.4846 0.9493
Sc 0.0000 0.9846 0.0507
Sc 0.5000 0.6752 0.1687
Sc 0.5000 0.1752 0.8313
Sc 0.0000 0.3255 0.3165
Sc 0.0000 0.8255 0.6835
Hg 0.5000 0.7482 0.8513
Hg 0.5000 0.2482 0.1487
Hg 0.0000 0.2527 0.6541
Hg 0.0000 0.7527 0.3459

---

Number 1: formation energy from the elements 84 meV per atom, DFT total energy -6.395 eV/atom. Number 2: formation energy from the elements 1442 meV per atom, DFT total energy -2.985 eV/atom. Number 3: formation energy from the elements -281 meV per atom, DFT total energy -4.647 eV/atom. Number 4: formation energy from the elements -234 meV per atom, DFT total energy -2.193 eV/atom. Number 5: formation energy from the elements -416 meV per atom, DFT total energy -3.169 eV/atom. Number 6: formation energy from the elements -344 meV per atom, DFT total energy -4.710 eV/atom. Number 7: formation energy from the elements -218 meV per atom, DFT total energy -4.584 eV/atom. Number 8: formation energy from the elements -382 meV per atom, DFT total energy -2.961 eV/atom. Number 9: formation energy from the elements -351 meV per atom, DFT total energy -4.297 eV/atom. Number 10: formation energy from the elements -271 meV per atom, DFT total energy -4.637 eV/atom. Number 11: formation energy from the elements -349 meV per atom, DFT total energy -4.876 eV/atom. Number 12: formation energy from the elements -357 meV per atom, DFT total energy -4.701 eV/atom.